Entry 1:
This record from Alexandria via LeMat-Bulk describes Ba2MgMo after structural relaxation. The functional is PBEsol.

The structure belongs to space group R-3m (No. 166, hexagonal axes); the cell edges are 3.5341, 3.5341 and 33.9324 Å and the angles 90.00°, 90.00° and 120.00°. The asymmetric unit holds Ba at (0.0000, 0.0000, 0.2394), Mg at (0.0000, 0.0000, 0.0000) and Mo at (0.0000, 0.0000, 0.5000).

Its formation energy is 0.949 eV/atom. Its calculated total energy is -3.50 eV per atom.

---

Entry 2:
This record from Alexandria via LeMat-Bulk describes BaMgMo2 after structural relaxation. The functional is PBEsol.

The structure belongs to space group P4/mmm (No. 123); the cell edges are 3.6776, 3.6776 and 7.1763 Å and the angles 90.00°, 90.00° and 90.00°. The asymmetric unit holds Ba at (0.0000, 0.0000, 0.0000), Mg at (0.0000, 0.0000, 0.5000) and Mo at (0.5000, 0.5000, 0.3518).

Its formation energy is 0.831 eV/atom. Its calculated total energy is -6.02 eV per atom.

---

Entry 3:
This record from Alexandria via LeMat-Bulk describes BaMgMo3 after structural relaxation. The functional is PBEsol.

The structure belongs to space group Pm-3m (No. 221); the cell edges are 4.8927, 4.8927 and 4.8927 Å and the angles 90.00°, 90.00° and 90.00°. The asymmetric unit holds Ba at (0.0000, 0.0000, 0.0000), Mg at (0.5000, 0.5000, 0.5000) and Mo at (0.0000, 0.5000, 0.5000).

Its formation energy is 2.225 eV/atom. Its calculated total energy is -5.61 eV per atom.

---

Entry 4:
This record from Alexandria via LeMat-Bulk describes BaMgN2 after structural relaxation. The functional is PBEsol.

The structure belongs to space group I-42d (No. 122); the cell edges are 4.6277, 4.6277 and 12.8702 Å and the angles 90.00°, 90.00° and 90.00°. The asymmetric unit holds Ba at (0.0000, 0.0000, 0.0000), Mg at (0.0000, 0.0000, 0.5000) and N at (0.0589, 0.2500, 0.6250).

For the uncorrected formation energy, the calculation gives -0.066 eV/atom. Its calculated total energy is -5.30 eV per atom.

---

Entry 5:
This record from Alexandria via LeMat-Bulk describes BaMgNO2 after structural relaxation. The functional is PBEsol.

The structure belongs to space group P4/mmm (No. 123); the cell edges are 4.1071, 4.1071 and 4.1784 Å and the angles 90.00°, 90.00° and 90.00°. The asymmetric unit holds Ba at (0.0000, 0.0000, 0.0000), Mg at (0.5000, 0.5000, 0.5000), N at (0.5000, 0.5000, 0.0000) and O at (0.0000, 0.5000, 0.5000).

For the uncorrected formation energy, the calculation gives -1.063 eV/atom. Its calculated total energy is -5.64 eV per atom.

---

Entry 6:
This record from Alexandria via LeMat-Bulk describes BaMgS2N after structural relaxation. The functional is PBEsol.

The structure belongs to space group P4/mmm (No. 123); the cell edges are 4.9836, 4.9836 and 4.2681 Å and the angles 90.00°, 90.00° and 90.00°. The asymmetric unit holds Ba at (0.0000, 0.0000, 0.0000), Mg at (0.5000, 0.5000, 0.5000), S at (0.0000, 0.5000, 0.5000) and N at (0.5000, 0.5000, 0.0000).

For the uncorrected formation energy, the calculation gives -0.500 eV/atom. Its calculated total energy is -4.73 eV per atom.

---

Entry 7:
This record from Alexandria via LeMat-Bulk describes Ba4MgSi2N6 after structural relaxation. The functional is PBEsol.

The structure belongs to space group Fddd (No. 70, origin choice 2); the cell edges are 7.9025, 11.3166 and 20.3415 Å and the angles 90.00°, 90.00° and 90.00°. The asymmetric unit holds Ba at (0.1250, 0.1250, 0.2748), Ba at (0.1250, 0.1250, 0.4555), Mg at (0.1250, 0.1250, 0.6250), Si at (0.0330, 0.3750, 0.3750), N at (0.0854, 0.3707, 0.9437) and N at (0.1250, 0.0089, 0.1250).

For the uncorrected formation energy, the calculation gives -1.059 eV/atom. Its calculated total energy is -6.67 eV per atom.

---

Entry 8:
This record from Alexandria via LeMat-Bulk describes BaNaMg3 after structural relaxation. The functional is PBEsol.

The structure belongs to space group Pm-3m (No. 221); the cell edges are 5.5687, 5.5687 and 5.5687 Å and the angles 90.00°, 90.00° and 90.00°. The asymmetric unit holds Ba at (0.0000, 0.0000, 0.0000), Na at (0.5000, 0.5000, 0.5000) and Mg at (0.0000, 0.5000, 0.5000).

Its formation energy is 0.308 eV/atom. Its calculated total energy is -1.43 eV per atom.

---

Entry 9:
This record from Alexandria via LeMat-Bulk describes BaNa2MgP2O8 after structural relaxation. The functional is PBEsol.

The structure belongs to space group P-3m1 (No. 164); the cell edges are 5.3320, 5.3320 and 6.9565 Å and the angles 90.00°, 90.00° and 120.00°. The asymmetric unit holds Ba at (0.0000, 0.0000, 0.0000), Na at (0.3333, 0.6667, 0.6793), Mg at (0.0000, 0.0000, 0.5000), P at (0.3333, 0.6667, 0.2399), O at (0.1764, 0.3527, 0.3195) and O at (0.3333, 0.6667, 0.0193).

For the uncorrected formation energy, the calculation gives -2.590 eV/atom. Its calculated total energy is -6.89 eV per atom.

---

Entry 10:
This record from Alexandria via LeMat-Bulk describes Ba3MgTaNbO9 after structural relaxation. The functional is PBEsol.

The structure belongs to space group P3m1 (No. 156); the cell edges are 5.7816, 5.7816 and 7.0996 Å and the angles 90.00°, 90.00° and 120.00°. The asymmetric unit holds Ba at (0.0000, 0.0000, 0.0000), Ba at (0.3333, 0.6667, 0.6631), Ba at (0.6667, 0.3333, 0.3298), Mg at (0.3333, 0.6667, 0.1666), Ta at (0.0000, 0.0000, 0.4871), Nb at (0.6667, 0.3333, 0.8424), O at (0.1620, 0.3239, 0.3378), O at (0.3310, 0.1655, 0.6624) and O at (0.5038, 0.0076, 0.9898).

For the uncorrected formation energy, the calculation gives -2.970 eV/atom. Its calculated total energy is -8.22 eV per atom.

---

Entry 11:
This record from Alexandria via LeMat-Bulk describes BaMgNb2W after structural relaxation. The functional is PBEsol.

The structure belongs to space group P4/mmm (No. 123); the cell edges are 4.9844, 4.9844 and 5.0452 Å and the angles 90.00°, 90.00° and 90.00°. The asymmetric unit holds Ba at (0.0000, 0.0000, 0.0000), Mg at (0.0000, 0.0000, 0.5000), Nb at (0.0000, 0.5000, 0.0000) and W at (0.5000, 0.5000, 0.5000).

Its formation energy is 2.994 eV/atom. Its calculated total energy is -4.87 eV per atom.

---

Entry 12:
This record from Alexandria via LeMat-Bulk describes BaMg3Ni after structural relaxation. The functional is PBEsol.

The structure belongs to space group Pm-3m (No. 221); the cell edges are 5.0111, 5.0111 and 5.0111 Å and the angles 90.00°, 90.00° and 90.00°. The asymmetric unit holds Ba at (0.0000, 0.0000, 0.0000), Mg at (0.0000, 0.5000, 0.5000) and Ni at (0.5000, 0.5000, 0.5000).

Its formation energy is -0.056 eV/atom. Its calculated total energy is -2.75 eV per atom.